Entry 1:
# LiFe2P3O12

A relaxed structure of LiFe2P3O12 (PBE+U, Alexandria).

The calculation puts the polymorph energy (0 for the lowest one) at 0.0083 eV/atom. The value obtained for the total moment is 0.675 μB/atom. As for the volume: 482.1 Å³ per cell.

Cell lengths 8.534, 8.594, 9.052 Å; angles 89.75, 118.37, 119.94 degrees
Each line ends with the local moment (μB).
Sites, in units of the cell vectors:
O: 0.142 0.260 0.258  0.17
O: 0.751 0.502 0.898  0.31
P: 0.495 0.033 0.245  0.01
O: 0.378 0.211 0.892  0.16
P: 0.208 0.462 0.251  0.01
O: 0.278 0.448 0.808  0.19
Fe: 0.298 0.151 0.430  4.41
Li: 0.174 0.927 0.851  0.00
P: 0.218 0.250 0.748  0.01
Fe: 0.702 0.849 0.570  4.41
O: 0.622 0.789 0.108  0.16
P: 0.792 0.538 0.749  0.01
O: 0.858 0.740 0.742  0.17
O: 0.785 0.773 0.422  0.30
O: 0.329 0.823 0.788  0.23
O: 0.587 0.392 0.573  0.27
O: 0.006 0.907 0.292  0.24
O: 0.383 0.115 0.271  0.21
O: 0.215 0.227 0.578  0.30
O: 0.413 0.608 0.427  0.27
O: 0.321 0.864 0.071  0.26
O: 0.994 0.093 0.708  0.24
Fe: 0.298 0.644 0.940  4.40
Fe: 0.702 0.356 0.060  4.40
P: 0.505 0.967 0.755  0.01
O: 0.979 0.520 0.790  0.26
O: 0.671 0.177 0.212  0.23
Li: 0.826 0.073 0.149  0.00
O: 0.617 0.885 0.729  0.21
O: 0.249 0.498 0.102  0.31
O: 0.401 0.026 0.598  0.20
O: 0.021 0.480 0.210  0.26
O: 0.722 0.552 0.192  0.19
O: 0.599 0.974 0.402  0.20
O: 0.679 0.136 0.929  0.26
P: 0.782 0.750 0.252  0.01

Entry 2:
# Li2FeP2O7

A relaxed structure of Li2FeP2O7 (PBE+U, Alexandria).

The calculation puts the polymorph energy (0 for the lowest one) at 0.0387 eV/atom. The value obtained for the total moment is 0.334 μB/atom. As for the volume: 318.2 Å³ per cell.

Cell lengths 6.930, 7.015, 8.194 Å; angles 64.66, 64.98, 90.00 degrees
Each line ends with the local moment (μB).
Sites, in units of the cell vectors:
O: 0.320 0.202 0.726  0.03
P: 0.861 0.922 0.279  0.01
P: 0.139 0.078 0.721  0.01
P: 0.361 0.300 0.279  0.01
O: 0.680 0.798 0.274  0.03
O: 0.442 0.227 0.117  0.01
O: 0.558 0.773 0.883  0.01
O: 0.058 0.844 0.883  0.01
O: 0.820 0.571 0.726  0.03
Fe: 0.500 0.500 0.500  3.78
Li: 0.268 0.268 0.964  0.00
O: 0.250 0.083 0.500  0.00
O: 0.953 0.202 0.726  0.03
P: 0.639 0.700 0.721  0.01
O: 0.453 0.571 0.726  0.03
Li: 0.768 0.268 0.964  0.00
O: 0.180 0.429 0.274  0.03
O: 0.750 0.917 0.500  0.00
Li: 0.232 0.732 0.036  0.00
O: 0.547 0.429 0.274  0.03
Fe: 0.000 0.500 0.500  3.78
O: 0.047 0.798 0.274  0.03
O: 0.942 0.156 0.117  0.01
Li: 0.732 0.732 0.036  0.00

Entry 3:
# LiFeP3O9

A relaxed structure of LiFeP3O9 (PBE+U, Alexandria).

The calculation puts the polymorph energy (0 for the lowest one) at 0.0238 eV/atom. The value obtained for the total moment is 0.286 μB/atom. As for the volume: 327.5 Å³ per cell.

Cell lengths 6.555, 6.910, 7.413 Å; angles 77.49, 87.27, 90.19 degrees
Each line ends with the local moment (μB).
Sites, in units of the cell vectors:
P: 0.337 0.888 0.780  0.01
O: 0.826 0.618 0.062  0.01
O: 0.711 0.609 0.398  0.00
P: 0.860 0.772 0.449  0.00
O: 0.835 0.105 0.074  0.03
O: 0.275 0.030 0.588  0.00
Fe: 0.847 0.908 0.857  3.79
P: 0.653 0.550 0.206  0.00
O: 0.174 0.382 0.938  0.01
O: 0.881 0.717 0.655  0.01
Fe: 0.153 0.092 0.143  3.79
P: 0.140 0.228 0.551  0.00
O: 0.328 0.685 0.716  0.00
O: 0.165 0.895 0.926  0.03
O: 0.289 0.391 0.602  0.00
O: 0.560 0.394 0.837  0.00
Li: 0.855 0.421 0.828  0.00
O: 0.672 0.315 0.284  0.00
O: 0.546 0.942 0.821  0.02
O: 0.119 0.283 0.345  0.01
O: 0.725 0.970 0.412  0.00
Li: 0.145 0.579 0.172  0.00
O: 0.440 0.606 0.163  0.00
P: 0.347 0.450 0.794  0.00
P: 0.663 0.112 0.220  0.01
O: 0.951 0.198 0.679  0.01
O: 0.049 0.802 0.321  0.01
O: 0.454 0.058 0.179  0.02

Entry 4:
# Li2FeP2O7

A relaxed structure of Li2FeP2O7 (PBE+U, Alexandria).

The calculation puts the polymorph energy (0 for the lowest one) at 0.0634 eV/atom. The value obtained for the total moment is 0.333 μB/atom. As for the volume: 306.4 Å³ per cell.

Cell lengths 5.644, 6.189, 9.443 Å; angles 107.78, 85.25, 102.74 degrees
Each line ends with the local moment (μB).
Sites, in units of the cell vectors:
O: 0.142 0.765 0.615  0.01
O: 0.381 0.180 0.894  0.02
O: 0.619 0.820 0.106  0.02
O: 0.313 0.822 0.366  0.00
P: 0.327 0.246 0.066  0.01
Li: 0.402 0.329 0.731  0.00
O: 0.140 0.155 0.565  0.00
Li: 0.598 0.671 0.269  0.00
Li: 0.744 0.241 0.852  0.00
Fe: 0.156 0.829 0.845  3.77
O: 0.185 0.016 0.096  0.04
P: 0.673 0.754 0.934  0.01
O: 0.687 0.178 0.634  0.00
P: 0.140 0.870 0.494  0.01
O: 0.851 0.584 0.888  0.03
O: 0.858 0.235 0.385  0.01
O: 0.815 0.984 0.904  0.04
P: 0.860 0.130 0.506  0.01
Li: 0.256 0.759 0.148  0.00
O: 0.435 0.651 0.846  0.02
O: 0.149 0.416 0.112  0.03
Fe: 0.844 0.171 0.155  3.77
O: 0.565 0.349 0.154  0.02
O: 0.860 0.845 0.435  0.00

Entry 5:
# Li2FeP2O7

A relaxed structure of Li2FeP2O7 (PBE+U, Alexandria).

The calculation puts the polymorph energy (0 for the lowest one) at 0.0241 eV/atom. The value obtained for the total moment is 0.334 μB/atom. As for the volume: 290.0 Å³ per cell.

Cell lengths 5.907, 7.988, 7.745 Å; angles 61.09, 90.00, 68.30 degrees
Each line ends with the local moment (μB).
Sites, in units of the cell vectors:
O: 0.654 0.608 0.446  0.01
Li: 0.502 0.499 0.680  0.00
O: 0.328 0.767 0.701  0.03
Fe: 0.000 0.000 0.500  3.79
Li: 0.498 0.501 0.320  0.00
O: 0.328 0.768 0.032  0.03
O: 0.512 0.000 0.250  0.00
O: 0.488 0.000 0.750  0.00
O: 0.095 0.233 0.799  0.03
P: 0.755 0.773 0.364  0.01
Fe: 0.000 0.000 0.000  3.79
P: 0.473 0.773 0.864  0.01
O: 0.346 0.392 0.554  0.01
Li: 0.001 0.501 0.820  0.00
O: 0.904 0.768 0.532  0.03
O: 0.672 0.232 0.968  0.03
P: 0.245 0.227 0.636  0.01
O: 0.905 0.767 0.201  0.03
O: 0.261 0.393 0.054  0.01
Li: 0.999 0.499 0.180  0.00
O: 0.096 0.232 0.468  0.03
O: 0.739 0.607 0.946  0.01
P: 0.527 0.227 0.136  0.01
O: 0.672 0.233 0.299  0.03

Entry 6:
# Li2FeP2O7

A relaxed structure of Li2FeP2O7 (PBE+U, Alexandria).

The calculation puts the polymorph energy (0 for the lowest one) at 0.1574 eV/atom. The value obtained for the total moment is 0.333 μB/atom. As for the volume: 151.6 Å³ per cell.

Cell lengths 5.067, 5.067, 7.420 Å; angles 70.03, 70.03, 60.00 degrees
Each line ends with the local moment (μB).
Sites, in units of the cell vectors:
O: 0.000 0.000 0.000  0.01
O: 0.127 0.796 0.703  0.02
O: 0.873 0.625 0.297  0.02
O: 0.625 0.204 0.297  0.02
Li: 0.242 0.242 0.274  0.00
O: 0.796 0.375 0.703  0.02
O: 0.375 0.127 0.703  0.02
P: 0.922 0.922 0.234  0.00
P: 0.078 0.078 0.766  0.00
Li: 0.758 0.758 0.726  0.00
O: 0.204 0.873 0.297  0.02
Fe: 0.500 0.500 0.500  3.81

Entry 7:
# LiFe2P2O8

A relaxed structure of LiFe2P2O8 (PBE+U, Alexandria).

The calculation puts the polymorph energy (0 for the lowest one) at 0.0251 eV/atom. The value obtained for the total moment is 0.692 μB/atom. As for the volume: 362.3 Å³ per cell.

Cell lengths 5.223, 8.415, 8.662 Å; angles 72.10, 90.00, 90.00 degrees
Each line ends with the local moment (μB).
Sites, in units of the cell vectors:
O: 0.604 0.324 0.943  0.03
Li: 0.333 0.498 0.218  0.00
O: 0.901 0.717 0.711  0.10
O: 0.181 0.222 0.860  0.04
Fe: 0.684 0.875 0.778  4.31
P: 0.671 0.257 0.497  0.02
O: 0.345 0.091 0.140  0.14
O: 0.345 0.791 0.783  0.12
P: 0.329 0.257 0.997  0.02
Fe: 0.316 0.875 0.278  4.31
O: 0.655 0.091 0.640  0.14
O: 0.655 0.791 0.283  0.12
Fe: 0.823 0.341 0.127  3.75
O: 0.819 0.222 0.360  0.04
Fe: 0.177 0.341 0.627  3.75
O: 0.791 0.869 0.988  0.12
O: 0.300 0.567 0.649  0.04
O: 0.396 0.324 0.443  0.03
O: 0.209 0.869 0.488  0.12
O: 0.805 0.387 0.565  0.04
O: 0.700 0.567 0.149  0.04
P: 0.190 0.733 0.657  0.02
Li: 0.667 0.498 0.718  0.00
P: 0.810 0.733 0.157  0.02
O: 0.195 0.387 0.065  0.04
O: 0.099 0.717 0.211  0.10

Entry 8:
# LiFe4P4O16

A relaxed structure of LiFe4P4O16 (PBE+U, Alexandria).

The calculation puts the polymorph energy (0 for the lowest one) at 0.0000 eV/atom. The value obtained for the total moment is 0.760 μB/atom. As for the volume: 293.6 Å³ per cell.

Cell lengths 4.866, 5.967, 10.111 Å; angles 90.05, 90.61, 90.23 degrees
Each line ends with the local moment (μB).
Sites, in units of the cell vectors:
O: 0.159 0.751 0.545  0.05
P: 0.898 0.247 0.598  0.02
O: 0.740 0.046 0.166  0.12
O: 0.339 0.754 0.054  0.10
O: 0.745 0.049 0.667  0.11
O: 0.743 0.767 0.897  0.02
O: 0.232 0.952 0.323  0.14
P: 0.087 0.751 0.400  0.01
Fe: 0.527 0.747 0.225  4.37
O: 0.277 0.961 0.843  0.08
O: 0.300 0.547 0.834  0.09
O: 0.721 0.449 0.175  0.12
P: 0.430 0.753 0.906  0.01
Li: 0.994 0.994 0.993  0.00
O: 0.749 0.448 0.667  0.11
O: 0.207 0.247 0.627  0.11
O: 0.228 0.549 0.323  0.15
Fe: 0.037 0.251 0.280  4.37
O: 0.670 0.247 0.951  0.07
P: 0.584 0.250 0.097  0.01
O: 0.852 0.248 0.447  0.14
Fe: 0.469 0.253 0.771  4.37
Fe: 0.963 0.747 0.720  3.80
O: 0.272 0.238 0.116  0.07
O: 0.777 0.752 0.373  0.11

Entry 9:
# Li2FeP2O8

A relaxed structure of Li2FeP2O8 (PBE+U, Alexandria).

The calculation puts the polymorph energy (0 for the lowest one) at 0.0265 eV/atom. The value obtained for the total moment is 0.304 μB/atom. As for the volume: 304.9 Å³ per cell.

Cell lengths 5.103, 5.103, 14.375 Å; angles 85.16, 85.16, 54.93 degrees
Each line ends with the local moment (μB).
Sites, in units of the cell vectors:
O: 0.734 0.498 0.035  -0.06
O: 0.977 0.692 0.598  -0.03
Fe: 0.970 0.044 0.001  4.36
O: 0.685 0.228 0.883  0.02
O: 0.498 0.734 0.535  -0.06
Li: 0.649 0.675 0.338  0.00
O: 0.228 0.685 0.383  0.02
P: 0.324 0.355 0.896  0.02
O: 0.184 0.589 0.977  -0.09
O: 0.062 0.306 0.419  0.03
O: 0.126 0.542 0.810  -0.11
O: 0.926 0.230 0.617  -0.07
P: 0.355 0.324 0.396  0.02
Li: 0.675 0.649 0.838  0.00
O: 0.542 0.126 0.310  -0.11
Li: 0.103 0.832 0.709  0.00
O: 0.723 0.546 0.210  -0.09
O: 0.589 0.184 0.477  -0.09
Li: 0.832 0.103 0.209  0.00
O: 0.306 0.062 0.919  0.03
P: 0.604 0.731 0.116  0.02
Fe: 0.044 0.970 0.501  4.36
O: 0.692 0.977 0.098  -0.03
P: 0.731 0.604 0.616  0.02
O: 0.230 0.926 0.117  -0.07
O: 0.546 0.723 0.710  -0.09

Entry 10:
# LiFe2P3O12

A relaxed structure of LiFe2P3O12 (PBE+U, Alexandria).

The calculation puts the polymorph energy (0 for the lowest one) at 0.0000 eV/atom. The value obtained for the total moment is 0.674 μB/atom. As for the volume: 940.2 Å³ per cell.

Cell lengths 8.684, 8.818, 12.277 Å; angles 90.00, 89.90, 90.00 degrees
Each line ends with the local moment (μB).
Sites, in units of the cell vectors:
O: 0.800 0.481 0.772  0.25
O: 0.159 0.015 0.766  0.14
Fe: 0.749 0.460 0.111  4.41
O: 0.654 0.933 0.530  0.23
O: 0.435 0.840 0.089  0.32
O: 0.663 0.671 0.077  0.18
O: 0.068 0.413 0.837  0.18
O: 0.932 0.587 0.163  0.18
O: 0.184 0.950 0.963  0.28
O: 0.633 0.715 0.663  0.24
P: 0.963 0.250 0.492  0.01
O: 0.700 0.981 0.728  0.25
Fe: 0.251 0.540 0.889  4.41
Li: 0.198 0.225 0.815  0.00
O: 0.677 0.761 0.322  0.14
Fe: 0.252 0.471 0.381  4.41
P: 0.607 0.887 0.646  0.01
O: 0.341 0.515 0.734  0.14
O: 0.346 0.067 0.470  0.23
O: 0.841 0.985 0.234  0.14
Li: 0.698 0.275 0.315  0.00
P: 0.386 0.397 0.646  0.01
P: 0.893 0.387 0.854  0.01
O: 0.935 0.660 0.589  0.32
O: 0.568 0.087 0.337  0.18
P: 0.107 0.613 0.146  0.01
O: 0.133 0.785 0.163  0.24
O: 0.154 0.567 0.030  0.23
O: 0.565 0.160 0.911  0.32
O: 0.163 0.829 0.577  0.18
O: 0.062 0.109 0.131  0.29
O: 0.887 0.360 0.572  0.30
O: 0.432 0.913 0.663  0.18
P: 0.537 0.750 0.008  0.01
O: 0.065 0.340 0.411  0.32
O: 0.867 0.215 0.837  0.24
O: 0.316 0.450 0.537  0.28
O: 0.058 0.136 0.557  0.23
O: 0.177 0.739 0.822  0.14
Fe: 0.748 0.529 0.619  4.41
O: 0.562 0.391 0.631  0.29
O: 0.387 0.140 0.072  0.30
Li: 0.302 0.725 0.685  0.00
O: 0.816 0.050 0.037  0.28
Fe: 0.249 0.040 0.611  4.41
O: 0.300 0.019 0.272  0.25
Fe: 0.248 0.971 0.119  4.41
O: 0.367 0.285 0.337  0.24
P: 0.886 0.103 0.146  0.01
O: 0.337 0.329 0.923  0.18
Fe: 0.751 0.960 0.389  4.41
Li: 0.802 0.775 0.185  0.00
P: 0.393 0.113 0.354  0.01
O: 0.837 0.171 0.423  0.18
O: 0.659 0.485 0.266  0.14
O: 0.684 0.550 0.463  0.28
P: 0.114 0.897 0.854  0.01
O: 0.442 0.636 0.943  0.23
O: 0.613 0.860 0.928  0.30
P: 0.037 0.750 0.508  0.01
O: 0.438 0.609 0.369  0.29
O: 0.823 0.261 0.178  0.14
O: 0.846 0.433 0.970  0.23
P: 0.614 0.603 0.354  0.01
O: 0.942 0.864 0.443  0.23
O: 0.938 0.891 0.869  0.29
O: 0.323 0.239 0.678  0.14
Fe: 0.752 0.029 0.881  4.41
P: 0.463 0.250 0.992  0.01
O: 0.200 0.519 0.228  0.25
O: 0.113 0.640 0.428  0.30
O: 0.558 0.364 0.057  0.23

Entry 11:
# LiFeP3O9

A relaxed structure of LiFeP3O9 (PBE+U, Alexandria).

The calculation puts the polymorph energy (0 for the lowest one) at 0.0327 eV/atom. The value obtained for the total moment is 0.286 μB/atom. As for the volume: 376.6 Å³ per cell.

Cell lengths 6.582, 6.797, 9.832 Å; angles 90.00, 90.10, 121.09 degrees
Each line ends with the local moment (μB).
Sites, in units of the cell vectors:
P: 0.241 0.276 0.742  0.01
Fe: 0.325 0.665 0.497  3.80
O: 0.019 0.656 0.612  0.01
O: 0.963 0.188 0.719  0.00
Li: 0.686 0.189 0.032  0.00
P: 0.720 0.766 0.253  0.01
O: 0.324 0.933 0.377  0.01
O: 0.324 0.391 0.877  0.01
O: 0.079 0.418 0.371  0.02
O: 0.241 0.203 0.244  0.00
Li: 0.686 0.497 0.532  0.00
O: 0.019 0.363 0.111  0.01
O: 0.800 0.768 0.770  0.00
O: 0.562 0.664 0.132  0.02
P: 0.720 0.955 0.753  0.01
Fe: 0.325 0.659 0.997  3.79
O: 0.369 0.967 0.114  0.01
O: 0.369 0.402 0.614  0.01
O: 0.800 0.032 0.270  0.00
O: 0.627 0.972 0.890  0.01
O: 0.241 0.037 0.744  0.00
O: 0.627 0.655 0.390  0.01
O: 0.562 0.899 0.632  0.02
P: 0.043 0.769 0.748  0.01
O: 0.079 0.661 0.871  0.02
O: 0.963 0.775 0.219  0.00
P: 0.241 0.965 0.242  0.01
P: 0.043 0.274 0.248  0.01

Entry 12:
# LiFeP2O7

A relaxed structure of LiFeP2O7 (PBE+U, Alexandria).

The calculation puts the polymorph energy (0 for the lowest one) at 0.1694 eV/atom. The value obtained for the total moment is 0.271 μB/atom. As for the volume: 313.0 Å³ per cell.

Cell lengths 7.964, 7.964, 8.651 Å; angles 71.18, 71.18, 37.36 degrees
Each line ends with the local moment (μB).
Sites, in units of the cell vectors:
Li: 0.518 0.882 0.964  0.00
O: 0.361 0.827 0.860  -0.03
O: 0.827 0.361 0.360  -0.03
Fe: 0.523 0.466 0.510  3.16
O: 0.138 0.215 0.622  -0.03
O: 0.867 0.770 0.342  -0.07
O: 0.216 0.586 0.649  -0.04
O: 0.719 0.464 0.075  -0.02
O: 0.215 0.138 0.122  -0.03
Li: 0.882 0.518 0.464  0.00
P: 0.241 0.952 0.692  0.01
Fe: 0.466 0.523 0.010  3.16
O: 0.978 0.019 0.734  0.01
O: 0.464 0.719 0.575  -0.02
O: 0.209 0.595 0.945  -0.03
O: 0.595 0.209 0.445  -0.03
O: 0.019 0.978 0.234  0.01
O: 0.770 0.867 0.842  -0.07
P: 0.039 0.756 0.798  0.01
P: 0.952 0.241 0.192  0.01
O: 0.586 0.216 0.149  -0.04
P: 0.756 0.039 0.298  0.01